No. 1
Entry from Alexandria via LeMat-Bulk: Ho3Tm2Tl3 after structural relaxation (GGA-PBE).

abc: 3.739 5.337 11.666
angles: 103.22 99.22 90.00
Element x y z (fractional)
Ho (0.627, 0.627, 0.254)
Ho (0.373, 0.373, 0.746)
Ho (0.500, 0.000, 0.000)
Tm (0.736, 0.236, 0.472)
Tm (0.264, 0.764, 0.528)
Tl (0.121, 0.121, 0.241)
Tl (0.000, 0.500, 0.000)
Tl (0.879, 0.879, 0.759)

Values from the calculation:
ΔE_f   -2.1 eV/f.u.
Space group   Immm, No. 71
Fermi-level density of states   0.89 states/eV/atom
M_tot   0.00 μB per cell



No. 2
Entry from Alexandria via LeMat-Bulk: Ho6TmTl2 after structural relaxation (GGA-PBE).

abc: 3.715 6.608 11.746
angles: 74.80 80.90 73.67
Element x y z (fractional)
Ho (0.683, 0.511, 0.123)
Ho (0.317, 0.489, 0.877)
Ho (0.310, 0.794, 0.586)
Ho (0.985, 0.686, 0.345)
Ho (0.015, 0.314, 0.655)
Ho (0.690, 0.206, 0.414)
Tm (0.000, 0.000, 0.000)
Tl (0.360, 0.078, 0.203)
Tl (0.640, 0.922, 0.797)

Values from the calculation:
ΔE_f   -1.3 eV/f.u.
Space group   C2/m, No. 12
Fermi-level density of states   1.18 states/eV/atom
M_tot   0.00 μB per cell